[1]
RbNbF3 | PBE | optimized geometry

As for the magnetic moment: 0.6000 μB/atom. For the energy, the calculation gives -5.533 eV per atom.

It has space group P4mm (No. 99), with a = 4.362 Å, b = 4.362 Å, c = 4.362 Å, α = 90.00°, β = 90.00° and γ = 90.00°. The inequivalent atoms are Rb at (0.000, 0.000, 0.000), Nb at (0.500, 0.500, 0.501), F at (0.000, 0.500, 0.511) and F at (0.500, 0.500, 0.001).

[2]
KPtNO | PBE | optimized geometry

As for the magnetic moment: 0.0006 μB/atom. For the energy, the calculation gives -5.069 eV per atom.

It has space group Pmc2_1 (No. 26), with a = 3.597 Å, b = 6.266 Å, c = 6.539 Å, α = 90.00°, β = 90.00° and γ = 90.00°. The inequivalent atoms are K at (0.000, 0.195, 0.000), Pt at (0.500, 0.339, 0.519), N at (0.000, 0.249, 0.556) and O at (0.500, 0.392, 0.210).

Copy entry 2 word for word.
KPtNO | PBE | optimized geometry

As for the magnetic moment: 0.0006 μB/atom. For the energy, the calculation gives -5.069 eV per atom.

It has space group Pmc2_1 (No. 26), with a = 3.597 Å, b = 6.266 Å, c = 6.539 Å, α = 90.00°, β = 90.00° and γ = 90.00°. The inequivalent atoms are K at (0.000, 0.195, 0.000), Pt at (0.500, 0.339, 0.519), N at (0.000, 0.249, 0.556) and O at (0.500, 0.392, 0.210).

- Which of these has the lowest energy?
  RbNbF3

- Which value of energy does entry 2 give?
  -5.069 eV per atom